# 1
A relaxed Sr4C3 crystal. Source: Alexandria, functional PBE-GGA.

Output
* calculated volume: 33.1 Å³ per atom
* energy relative to the lowest polymorph listed for this composition: 179 meV/atom
* spin magnetization: 4.1 μB per formula unit
* DOS(E_F): 5.82 states/eV per cell

The structure in extended XYZ format:
```
7
Lattice="-4.8658 2.4688 -2.8250 -3.7509 -3.1038 3.7481 0.0790 4.6929 3.9651" Properties=species:S:1:pos:R:3 pbc="T T T"
Sr -4.0261 -0.3765 3.0553
Sr -4.5486 2.2351 -0.0252
Sr -6.2694 2.9798 3.5896
Sr -2.2313 3.2774 3.1569
C -2.3934 3.5808 0.5701
C -4.3083 -0.3175 0.4616
C -1.8360 0.7945 3.8566
```

***

# 2
A relaxed SrC crystal. Source: Alexandria, functional PBE-GGA.

Output
* calculated volume: 27.3 Å³ per atom
* energy relative to the lowest polymorph listed for this composition: 1924 meV/atom
* spin magnetization: 0.7 μB per formula unit
* DOS(E_F): 6.02 states/eV per cell

The structure in extended XYZ format:
```
6
Lattice="-1.6391 -5.2188 0.0001 5.1513 -1.6179 -0.8770 0.8367 -0.2627 5.3994" Properties=species:S:1:pos:R:3 pbc="T T T"
Sr 2.5757 -0.8090 -0.4385
Sr 0.4184 -0.1313 2.6997
Sr -0.8196 -2.6094 0.0001
C -0.4012 -2.7408 2.6998
C 1.7561 -3.4184 -0.4385
C 2.9940 -0.9403 2.2612
```